*1*
Entry from Alexandria: a relaxed structure of ScPdC3 (PBE).

Properties
N(E_F): 2.5 states/eV/cell

abc: 4.1617 4.1617 4.1617
angles: 90.00 90.00 90.00
With the nearest neighbours (Å) after each atom.
Atoms (fractional coordinates):
C  0.0000  0.5000  0.0000  2 Sc 2.08
C  0.0000  0.0000  0.5000  2 Sc 2.08
C  0.5000  0.0000  0.0000  2 Sc 2.08
Sc  0.0000  0.0000  0.0000  6 C 2.08
Pd  0.5000  0.5000  0.5000  12 C 2.94


*2*
Entry from Alexandria: a relaxed structure of ScPdC3 (PBE).

Properties
N(E_F): 8.1 states/eV/cell

abc: 4.0227 4.0227 4.0227
angles: 90.00 90.00 90.00
With the nearest neighbours (Å) after each atom.
Atoms (fractional coordinates):
C  0.5000  0.0000  0.0000  2 Pd 2.01
C  0.0000  0.5000  0.0000  2 Pd 2.01
C  0.0000  0.0000  0.5000  2 Pd 2.01
Sc  0.5000  0.5000  0.5000  12 C 2.84
Pd  0.0000  0.0000  0.0000  6 C 2.01


Quick one: least stable of them? *1*


*1*
Entry from Alexandria: a relaxed structure of Sc3PdC (PBE).

Properties
N(E_F): 21.5 states/eV/cell

abc: 6.2989 6.2989 10.8794
angles: 73.78 73.78 60.59
With the nearest neighbours (Å) after each atom.
Atoms (fractional coordinates):
C  0.2498  0.7502  0.7500  6 Sc 2.27-2.28
C  0.5000  0.0000  0.0000  6 Sc 2.27-2.28
C  0.7502  0.2498  0.2500  6 Sc 2.27-2.28
C  0.0000  0.5000  0.5000  6 Sc 2.27-2.28
Sc  0.6474  0.6467  0.1469  2 C 2.28
Sc  0.8328  0.3329  0.4171  2 C 2.28
Sc  0.1472  0.1466  0.1470  2 C 2.27
Sc  0.3329  0.8328  0.9171  2 C 2.28
Sc  0.3533  0.3526  0.3531  2 C 2.28
Sc  0.6671  0.1672  0.0829  2 C 2.28
Sc  0.1466  0.1472  0.6470  2 C 2.27
Sc  0.3526  0.3533  0.8531  2 C 2.28
Sc  0.8528  0.8534  0.8530  2 C 2.27
Sc  0.6467  0.6474  0.6469  2 C 2.28
Sc  0.8534  0.8528  0.3530  2 C 2.27
Sc  0.1672  0.6671  0.5829  2 C 2.28
Pd  0.1210  0.6201  0.1291  5 Sc 2.68-2.86
Pd  0.6201  0.1210  0.6291  5 Sc 2.68-2.86
Pd  0.8790  0.3799  0.8709  5 Sc 2.68-2.86
Pd  0.3799  0.8790  0.3709  5 Sc 2.68-2.86


*2*
Entry from Alexandria: a relaxed structure of Sc3PdC (PBE).

Properties
N(E_F): 4.8 states/eV/cell

abc: 4.4761 4.4761 4.4761
angles: 90.00 90.00 90.00
With the nearest neighbours (Å) after each atom.
Atoms (fractional coordinates):
Sc  0.5000  0.0000  0.0000  2 C 2.24
Sc  0.0000  0.0000  0.5000  2 C 2.24
Sc  0.0000  0.5000  0.0000  2 C 2.24
C  0.0000  0.0000  0.0000  6 Sc 2.24
Pd  0.5000  0.5000  0.5000  12 Sc 3.17


Quick one: least stable of them? *2*